Record 1
! Pa2B4Ru5, optimized geometry, DFT PBE-GGA; values from VASP
! Formation enthalpy at 0 K ... -506 meV per atom
! Crystal system ... orthorhombic
! Magnetization ... 0.51 μB/f.u.
! D(E_F) ... 0.62 states/eV/atom
&SYSTEM
  ibrav = 0, nat = 11, ntyp = 3
/
ATOMIC_SPECIES
Pa 231.04 Pa.upf
B 10.81 B.upf
Ru 101.07 Ru.upf
CELL_PARAMETERS angstrom
5.5007 0.0000 0.0000
2.7503 4.7266 0.0000
2.7503 0.0000 5.8196
ATOMIC_POSITIONS crystal
Pa 0.8657 0.0000 0.2686
Pa 0.1343 0.0000 0.7314
B 0.4718 0.3195 0.7370
B 0.5282 0.6805 0.2630
B 0.2088 0.3195 0.2630
B 0.7912 0.6805 0.7370
Ru 0.5000 0.0000 0.0000
Ru 0.0000 0.5000 0.0000
Ru 0.5000 0.5000 0.0000
Ru 0.2500 0.5000 0.5000
Ru 0.7500 0.5000 0.5000



Record 2
! PaB3Ru6, optimized geometry, DFT PBE-GGA; values from VASP
! Formation enthalpy at 0 K ... -201 meV per atom
! Crystal system ... trigonal
! Magnetization ... 0.00 μB/f.u.
! D(E_F) ... 0.99 states/eV/atom
&SYSTEM
  ibrav = 0, nat = 10, ntyp = 3
/
ATOMIC_SPECIES
Pa 231.04 Pa.upf
B 10.81 B.upf
Ru 101.07 Ru.upf
CELL_PARAMETERS angstrom
4.8116 0.0018 -2.5786
-3.0962 4.4962 -0.0019
0.1248 0.0839 6.0124
ATOMIC_POSITIONS crystal
Pa 0.9032 0.9516 0.8549
B 0.6546 0.3273 0.9820
B 0.3223 0.6614 0.9834
B 0.2481 0.1239 0.3717
Ru 0.3081 0.4135 0.6866
Ru 0.1669 0.6633 0.2493
Ru 0.7457 0.0824 0.2493
Ru 0.2731 0.8946 0.6867
Ru 0.7921 0.3783 0.6866
Ru 0.5859 0.5037 0.2494



Record 3
! PaSiBRu3, optimized geometry, DFT PBE-GGA; values from VASP
! Crystal system ... orthorhombic
! Magnetization ... 0.00 μB/f.u.
! D(E_F) ... 0.62 states/eV/atom
! E_form (uncorrected) ... -494 meV/atom
&SYSTEM
  ibrav = 0, nat = 12, ntyp = 4
/
ATOMIC_SPECIES
Pa 231.04 Pa.upf
Si 28.09 Si.upf
B 10.81 B.upf
Ru 101.07 Ru.upf
CELL_PARAMETERS angstrom
-1.2172 -1.8744 -5.2943
-5.1711 -1.5707 1.7450
0.5509 5.9661 -2.2389
ATOMIC_POSITIONS crystal
Pa 0.7500 0.2607 0.5213
Pa 0.2500 0.7393 0.4787
Si 0.2500 0.3775 0.7549
Si 0.7500 0.6225 0.2451
B 0.2500 0.9880 0.9759
B 0.7500 0.0120 0.0241
Ru 0.2500 0.1780 0.3560
Ru 0.0000 0.2558 0.0000
Ru 0.5000 0.7442 0.0000
Ru 0.5000 0.2558 0.0000
Ru 0.0000 0.7442 0.0000
Ru 0.7500 0.8220 0.6440



Record 4
! Pa2SiB2Ru5, optimized geometry, DFT PBE-GGA; values from VASP
! Crystal system ... tetragonal
! Magnetization ... 0.00 μB/f.u.
! D(E_F) ... 0.55 states/eV/atom
! E_form (uncorrected) ... -650 meV/atom
&SYSTEM
  ibrav = 0, nat = 20, ntyp = 4
/
ATOMIC_SPECIES
Pa 231.04 Pa.upf
Si 28.09 Si.upf
B 10.81 B.upf
Ru 101.07 Ru.upf
CELL_PARAMETERS angstrom
3.1899 0.0000 0.0000
0.0000 9.4850 0.0000
0.0000 0.0000 9.4850
ATOMIC_POSITIONS crystal
Pa 0.0000 0.6762 0.1762
Pa 0.0000 0.3238 0.8238
Pa 0.0000 0.1762 0.3238
Pa 0.0000 0.8238 0.6762
Si 0.0000 0.0000 0.0000
Si 0.0000 0.5000 0.5000
B 0.0000 0.1218 0.6218
B 0.0000 0.8782 0.3782
B 0.0000 0.6218 0.8782
B 0.0000 0.3782 0.1218
Ru 0.5000 0.2151 0.0700
Ru 0.5000 0.7849 0.9300
Ru 0.5000 0.0700 0.7849
Ru 0.5000 0.7151 0.4300
Ru 0.5000 0.9300 0.2151
Ru 0.5000 0.2849 0.5700
Ru 0.5000 0.5700 0.7151
Ru 0.5000 0.4300 0.2849
Ru 0.5000 0.5000 0.0000
Ru 0.5000 0.0000 0.5000



Record 5
! Pa2SiBRu6, optimized geometry, DFT PBE-GGA; values from VASP
! Crystal system ... tetragonal
! Magnetization ... 0.00 μB/f.u.
! D(E_F) ... 0.69 states/eV/atom
! E_form (uncorrected) ... -377 meV/atom
&SYSTEM
  ibrav = 0, nat = 10, ntyp = 4
/
ATOMIC_SPECIES
Pa 231.04 Pa.upf
Si 28.09 Si.upf
B 10.81 B.upf
Ru 101.07 Ru.upf
CELL_PARAMETERS angstrom
-2.3764 2.1103 2.9460
-2.9125 -3.2084 -0.0511
4.2767 -3.9826 6.3026
ATOMIC_POSITIONS crystal
Pa 0.0000 0.0000 0.7433
Pa 0.0000 0.0000 0.2567
Si 0.5000 0.5000 0.0000
B 0.5000 0.5000 0.5000
Ru 0.5000 0.0000 0.0000
Ru 0.5000 0.0000 0.5000
Ru 0.0000 0.5000 0.0000
Ru 0.0000 0.5000 0.5000
Ru 0.5000 0.5000 0.7356
Ru 0.5000 0.5000 0.2644



Record 6
! PaTcBRu2, optimized geometry, DFT PBE-GGA; values from VASP
! Formation enthalpy at 0 K ... -532 meV per atom
! Crystal system ... tetragonal
! Magnetization ... 0.00 μB/f.u.
! D(E_F) ... 0.44 states/eV/atom
&SYSTEM
  ibrav = 0, nat = 5, ntyp = 4
/
ATOMIC_SPECIES
Pa 231.04 Pa.upf
Tc 98.00 Tc.upf
B 10.81 B.upf
Ru 101.07 Ru.upf
CELL_PARAMETERS angstrom
-4.1326 -0.4054 -0.9751
-0.6789 -1.9041 3.6688
-0.7839 3.7097 1.7803
ATOMIC_POSITIONS crystal
Pa 0.5000 0.5000 0.5000
Tc 0.5000 0.0000 0.0000
B 0.0000 0.0000 0.0000
Ru 0.0000 0.0000 0.5000
Ru 0.0000 0.5000 0.0000



Record 7
! Pa2BS4, optimized geometry, DFT PBE-GGA; values from VASP
! Crystal system ... tetragonal
! Magnetization ... 2.05 μB/f.u.
! D(E_F) ... 1.40 states/eV/atom
! E_form (uncorrected) ... -587 meV/atom
&SYSTEM
  ibrav = 0, nat = 7, ntyp = 3
/
ATOMIC_SPECIES
Pa 231.04 Pa.upf
B 10.81 B.upf
S 32.06 S.upf
CELL_PARAMETERS angstrom
-0.3348 -3.7656 -3.3600
5.0445 -0.3509 -0.1094
-2.5418 -2.0807 6.3920
ATOMIC_POSITIONS crystal
Pa 0.7500 0.2500 0.5000
Pa 0.2500 0.7500 0.5000
B 0.5000 0.5000 0.0000
S 0.8123 0.3670 0.1793
S 0.3670 0.8123 0.1793
S 0.6330 0.6330 0.8207
S 0.1877 0.1877 0.8207



Record 8
! PaBS, optimized geometry, DFT PBE-GGA; values from VASP
! Crystal system ... monoclinic
! Magnetization ... 0.00 μB/f.u.
! D(E_F) ... 1.06 states/eV/atom
! E_form (uncorrected) ... -687 meV/atom
&SYSTEM
  ibrav = 0, nat = 6, ntyp = 3
/
ATOMIC_SPECIES
Pa 231.04 Pa.upf
B 10.81 B.upf
S 32.06 S.upf
CELL_PARAMETERS angstrom
3.6685 0.0014 -0.0195
-0.0015 3.6730 0.0035
0.0376 -0.0039 9.1671
ATOMIC_POSITIONS crystal
Pa 0.7504 0.2497 0.6548
Pa 0.2496 0.7503 0.3452
B 0.2503 0.7499 0.6049
B 0.7497 0.2501 0.3951
S 0.7490 0.2505 0.1910
S 0.2510 0.7495 0.8090



Record 9
! PaBS, optimized geometry, DFT PBE-GGA; values from VASP
! Crystal system ... orthorhombic
! Magnetization ... 0.42 μB/f.u.
! D(E_F) ... 0.82 states/eV/atom
! E_form (uncorrected) ... -857 meV/atom
&SYSTEM
  ibrav = 0, nat = 12, ntyp = 3
/
ATOMIC_SPECIES
S 32.06 S.upf
B 10.81 B.upf
Pa 231.04 Pa.upf
CELL_PARAMETERS angstrom
-1.7405 -2.3252 -1.5344
2.0720 -5.1193 5.4073
-6.4147 1.9570 4.3108
ATOMIC_POSITIONS crystal
S 0.7500 0.3735 0.6081
S 0.2500 0.8735 0.8919
S 0.2500 0.6265 0.3919
S 0.7500 0.1265 0.1081
B 0.7500 0.0256 0.4844
B 0.2500 0.5256 0.0156
B 0.2500 0.9744 0.5156
B 0.7500 0.4744 0.9844
Pa 0.7500 0.7335 0.6574
Pa 0.2500 0.2334 0.8426
Pa 0.2500 0.2666 0.3426
Pa 0.7500 0.7665 0.1574



Record 10
! Pa2BS6, optimized geometry, DFT PBE-GGA; values from VASP
! Crystal system ... monoclinic
! Magnetization ... 1.10 μB/f.u.
! D(E_F) ... 0.72 states/eV/atom
! E_form (uncorrected) ... -1079 meV/atom
&SYSTEM
  ibrav = 0, nat = 9, ntyp = 3
/
ATOMIC_SPECIES
Pa 231.04 Pa.upf
B 10.81 B.upf
S 32.06 S.upf
CELL_PARAMETERS angstrom
3.8256 0.0000 0.0000
1.9128 6.1558 -0.4768
1.9128 0.5442 10.1199
ATOMIC_POSITIONS crystal
Pa 0.3553 0.9746 0.3148
Pa 0.6447 0.0254 0.6852
B 0.0000 0.0000 0.0000
S 0.8417 0.1990 0.1177
S 0.1583 0.8010 0.8823
S 0.3248 0.7936 0.5568
S 0.0192 0.6956 0.2660
S 0.9808 0.3044 0.7340
S 0.6752 0.2064 0.4432



Record 11
! PaBS3, optimized geometry, DFT PBE-GGA; values from VASP
! Crystal system ... orthorhombic
! Magnetization ... 0.00 μB/f.u.
! E_form (uncorrected) ... -967 meV/atom
&SYSTEM
  ibrav = 0, nat = 10, ntyp = 3
/
ATOMIC_SPECIES
Pa 231.04 Pa.upf
B 10.81 B.upf
S 32.06 S.upf
CELL_PARAMETERS angstrom
8.1214 -1.2569 -1.2844
-5.0815 6.4588 1.2844
-4.6320 -0.7823 6.8644
ATOMIC_POSITIONS crystal
Pa 0.5803 0.9030 0.1773
Pa 0.7257 0.4030 0.8227
B 0.2043 0.9080 0.7963
B 0.1117 0.4080 0.2037
S 0.1707 0.4376 0.0052
S 0.1707 0.6654 0.2331
S 0.4324 0.9376 0.7669
S 0.1737 0.2442 0.4295
S 0.4324 0.1654 0.9948
S 0.8147 0.7442 0.5705



Record 12
! Pa2BS, optimized geometry, DFT PBE-GGA; values from VASP
! Crystal system ... trigonal
! Magnetization ... 0.00 μB/f.u.
! D(E_F) ... 0.88 states/eV/atom
! E_form (uncorrected) ... -927 meV/atom
&SYSTEM
  ibrav = 0, nat = 4, ntyp = 3
/
ATOMIC_SPECIES
S 32.06 S.upf
Pa 231.04 Pa.upf
B 10.81 B.upf
CELL_PARAMETERS angstrom
-2.0256 1.6957 -2.7648
-1.2239 -2.0360 -2.9965
-6.4011 -1.4471 1.1578
ATOMIC_POSITIONS crystal
S 0.5000 0.5000 0.5000
Pa 0.2588 0.2588 0.2236
Pa 0.7412 0.7412 0.7764
B 0.0000 0.0000 0.0000



Please write out number 4 again, unchanged.
! Pa2SiB2Ru5, optimized geometry, DFT PBE-GGA; values from VASP
! Crystal system ... tetragonal
! Magnetization ... 0.00 μB/f.u.
! D(E_F) ... 0.55 states/eV/atom
! E_form (uncorrected) ... -650 meV/atom
&SYSTEM
  ibrav = 0, nat = 20, ntyp = 4
/
ATOMIC_SPECIES
Pa 231.04 Pa.upf
Si 28.09 Si.upf
B 10.81 B.upf
Ru 101.07 Ru.upf
CELL_PARAMETERS angstrom
3.1899 0.0000 0.0000
0.0000 9.4850 0.0000
0.0000 0.0000 9.4850
ATOMIC_POSITIONS crystal
Pa 0.0000 0.6762 0.1762
Pa 0.0000 0.3238 0.8238
Pa 0.0000 0.1762 0.3238
Pa 0.0000 0.8238 0.6762
Si 0.0000 0.0000 0.0000
Si 0.0000 0.5000 0.5000
B 0.0000 0.1218 0.6218
B 0.0000 0.8782 0.3782
B 0.0000 0.6218 0.8782
B 0.0000 0.3782 0.1218
Ru 0.5000 0.2151 0.0700
Ru 0.5000 0.7849 0.9300
Ru 0.5000 0.0700 0.7849
Ru 0.5000 0.7151 0.4300
Ru 0.5000 0.9300 0.2151
Ru 0.5000 0.2849 0.5700
Ru 0.5000 0.5700 0.7151
Ru 0.5000 0.4300 0.2849
Ru 0.5000 0.5000 0.0000
Ru 0.5000 0.0000 0.5000